VASP calculation (PBE) on an optimized crystal structure of TlAs4.

abc: 5.271 5.271 5.271
angles: 90.00 90.00 90.00
Element x y z (fractional)
Tl: 0.000 0.000 0.000
As: 0.000 0.000 0.500
As: 0.000 0.500 0.000
As: 0.500 0.000 0.000
As: 0.500 0.500 0.500

Output
**Mass density**: 5.7 g/cm3
**Calculated volume**: 29.282 A^3/atom
**Offset from the most stable computed form**: 1088 meV per atom
**Space-group type**: No. 221

VASP calculation (PBE) on an optimized crystal structure of TlAs5.

abc: 3.558 3.558 10.673
angles: 90.00 90.00 90.00
Element x y z (fractional)
Tl: 0.000 0.000 0.000
As: 0.000 0.000 0.329
As: 0.000 0.000 0.671
As: 0.500 0.500 0.232
As: 0.500 0.500 0.500
As: 0.500 0.500 0.768

Output
**Mass density**: 7.1 g/cm3
**Calculated volume**: 22.513 A^3/atom
**Offset from the most stable computed form**: 130 meV per atom
**Space-group type**: No. 123